Entry 1:
Compound: Pa2Ni5P2
Source: Alexandria
Functional: PBE
Structure: optimized geometry Values from VASP.

Results
Fermi-level density of states	0.50	states/eV per atom
E_form	-0.63	eV per atom
total DFT energy (no corrections)	-7.151	eV/atom
crystal system	tetragonal
SG	P4/mmm, No. 123

```
&SYSTEM
  ibrav = 0, nat = 9, ntyp = 3
/
ATOMIC_SPECIES
Pa 231.04 Pa.upf
Ni 58.69 Ni.upf
P 30.97 P.upf
ATOMIC_POSITIONS crystal
Pa 0.000 0.000 0.000
Pa 0.000 0.000 0.500
Ni 0.000 0.500 0.211
Ni 0.000 0.500 0.789
Ni 0.500 0.000 0.211
Ni 0.500 0.000 0.789
Ni 0.500 0.500 0.000
P 0.500 0.500 0.360
P 0.500 0.500 0.640
CELL_PARAMETERS angstrom
3.758 0.000 0.000
0.000 3.758 0.000
0.000 0.000 9.276
```

Entry 2:
Compound: PaNi3P
Source: Alexandria
Functional: PBE
Structure: optimized geometry Values from VASP.

Results
Fermi-level density of states	0.58	states/eV per atom
energy above the most stable polymorph in this dataset	0.151	eV/atom
E_form	-0.56	eV per atom
total DFT energy (no corrections)	-7.011	eV/atom
crystal system	orthorhombic
SG	Pmn2_1, No. 31

```
&SYSTEM
  ibrav = 0, nat = 10, ntyp = 3
/
ATOMIC_SPECIES
Pa 231.04 Pa.upf
Ni 58.69 Ni.upf
P 30.97 P.upf
ATOMIC_POSITIONS crystal
Pa 0.000 0.163 0.000
Pa 0.500 0.837 0.500
Ni 0.000 0.956 0.554
Ni 0.242 0.337 0.435
Ni 0.258 0.663 0.935
Ni 0.500 0.044 0.054
Ni 0.742 0.663 0.935
Ni 0.758 0.337 0.435
P 0.000 0.650 0.275
P 0.500 0.350 0.775
CELL_PARAMETERS angstrom
5.237 0.000 0.000
0.000 5.433 0.000
0.000 0.000 5.204
```

Entry 3:
Compound: PaNi2P3
Source: Alexandria
Functional: PBE
Structure: optimized geometry Values from VASP.

Results
Fermi-level density of states	1.08	states/eV per atom
E_form	-0.64	eV per atom
total DFT energy (no corrections)	-6.860	eV/atom
crystal system	orthorhombic
SG	Cmcm, No. 63

```
&SYSTEM
  ibrav = 0, nat = 12, ntyp = 3
/
ATOMIC_SPECIES
Pa 231.04 Pa.upf
Ni 58.69 Ni.upf
P 30.97 P.upf
ATOMIC_POSITIONS crystal
Pa 0.172 0.828 0.750
Pa 0.828 0.172 0.250
Ni 0.344 0.344 0.000
Ni 0.344 0.344 0.500
Ni 0.656 0.656 0.000
Ni 0.656 0.656 0.500
P 0.046 0.300 0.750
P 0.300 0.046 0.250
P 0.342 0.658 0.250
P 0.658 0.342 0.750
P 0.700 0.954 0.750
P 0.954 0.700 0.250
CELL_PARAMETERS angstrom
4.041 -4.330 0.000
4.041 4.330 0.000
0.000 0.000 5.196
```

Entry 4:
Compound: PaNi3P2
Source: Alexandria
Functional: PBE
Structure: optimized geometry Values from VASP.

Results
Fermi-level density of states	0.69	states/eV per atom
energy above the most stable polymorph in this dataset	0.000	eV/atom
E_form	-0.82	eV per atom
total DFT energy (no corrections)	-7.094	eV/atom
crystal system	monoclinic
SG	C2/m, No. 12

```
&SYSTEM
  ibrav = 0, nat = 12, ntyp = 3
/
ATOMIC_SPECIES
Pa 231.04 Pa.upf
Ni 58.69 Ni.upf
P 30.97 P.upf
ATOMIC_POSITIONS crystal
Pa 0.150 0.150 0.070
Pa 0.850 0.850 0.930
Ni 0.044 0.044 0.371
Ni 0.316 0.316 0.566
Ni 0.394 0.394 0.298
Ni 0.606 0.606 0.702
Ni 0.684 0.684 0.434
Ni 0.956 0.956 0.629
P 0.191 0.191 0.681
P 0.482 0.482 0.819
P 0.518 0.518 0.181
P 0.809 0.809 0.319
CELL_PARAMETERS angstrom
7.195 -1.898 0.000
7.195 1.898 0.000
-2.901 0.000 6.079
```

Entry 5:
Compound: Pa2NiP
Source: Alexandria
Functional: PBE
Structure: optimized geometry Values from VASP.

Results
Fermi-level density of states	1.27	states/eV per atom
energy above the most stable polymorph in this dataset	0.000	eV/atom
E_form	-0.74	eV per atom
total DFT energy (no corrections)	-8.282	eV/atom
crystal system	monoclinic
SG	P2_1/m, No. 11

```
&SYSTEM
  ibrav = 0, nat = 8, ntyp = 3
/
ATOMIC_SPECIES
Pa 231.04 Pa.upf
Ni 58.69 Ni.upf
P 30.97 P.upf
ATOMIC_POSITIONS crystal
Pa 0.205 0.250 0.411
Pa 0.220 0.250 0.944
Pa 0.780 0.750 0.056
Pa 0.795 0.750 0.589
Ni 0.377 0.750 0.223
Ni 0.623 0.250 0.777
P 0.340 0.750 0.705
P 0.660 0.250 0.295
CELL_PARAMETERS angstrom
5.669 0.000 0.000
0.000 3.700 0.000
-2.717 0.000 7.481
```

Entry 6:
Compound: Pa2Ni3P3
Source: Alexandria
Functional: PBE
Structure: optimized geometry Values from VASP.

Results
Fermi-level density of states	0.77	states/eV per atom
E_form	-0.78	eV per atom
total DFT energy (no corrections)	-7.350	eV/atom
crystal system	hexagonal
SG	P6_3/mcm, No. 193

```
&SYSTEM
  ibrav = 0, nat = 16, ntyp = 3
/
ATOMIC_SPECIES
Pa 231.04 Pa.upf
Ni 58.69 Ni.upf
P 30.97 P.upf
ATOMIC_POSITIONS crystal
Pa 0.333 0.667 0.000
Pa 0.333 0.667 0.500
Pa 0.667 0.333 0.000
Pa 0.667 0.333 0.500
Ni 0.000 0.339 0.250
Ni 0.000 0.661 0.750
Ni 0.339 0.000 0.250
Ni 0.339 0.339 0.750
Ni 0.661 0.000 0.750
Ni 0.661 0.661 0.250
P 0.000 0.324 0.750
P 0.000 0.676 0.250
P 0.324 0.000 0.750
P 0.324 0.324 0.250
P 0.676 0.000 0.250
P 0.676 0.676 0.750
CELL_PARAMETERS angstrom
6.758 0.000 0.000
-3.379 5.853 0.000
0.000 0.000 7.385
```

Entry 7:
Compound: Pa2Ni3P2
Source: Alexandria
Functional: PBE
Structure: optimized geometry Values from VASP.

Results
Fermi-level density of states	1.01	states/eV per atom
E_form	-0.64	eV per atom
total DFT energy (no corrections)	-7.376	eV/atom
crystal system	cubic
SG	I2_13, No. 199

```
&SYSTEM
  ibrav = 0, nat = 14, ntyp = 3
/
ATOMIC_SPECIES
Pa 231.04 Pa.upf
Ni 58.69 Ni.upf
P 30.97 P.upf
ATOMIC_POSITIONS crystal
Pa 0.000 0.960 0.500
Pa 0.500 0.000 0.960
Pa 0.540 0.540 0.540
Pa 0.960 0.500 0.000
Ni 0.032 0.250 0.282
Ni 0.218 0.468 0.750
Ni 0.250 0.282 0.032
Ni 0.282 0.032 0.250
Ni 0.468 0.750 0.218
Ni 0.750 0.218 0.468
P 0.000 0.561 0.500
P 0.500 0.000 0.561
P 0.561 0.500 0.000
P 0.939 0.939 0.939
CELL_PARAMETERS angstrom
-3.877 3.877 3.877
3.877 -3.877 3.877
3.877 3.877 -3.877
```

Entry 8:
Compound: Pa3Ni2P3
Source: Alexandria
Functional: PBE
Structure: optimized geometry Values from VASP.

Results
Fermi-level density of states	1.30	states/eV per atom
E_form	-0.92	eV per atom
total DFT energy (no corrections)	-7.960	eV/atom
crystal system	orthorhombic
SG	Cmcm, No. 63

```
&SYSTEM
  ibrav = 0, nat = 16, ntyp = 3
/
ATOMIC_SPECIES
Pa 231.04 Pa.upf
Ni 58.69 Ni.upf
P 30.97 P.upf
ATOMIC_POSITIONS crystal
Pa 0.070 0.930 0.608
Pa 0.070 0.930 0.892
Pa 0.355 0.645 0.750
Pa 0.645 0.355 0.250
Pa 0.930 0.070 0.108
Pa 0.930 0.070 0.392
Ni 0.223 0.777 0.100
Ni 0.223 0.777 0.400
Ni 0.777 0.223 0.600
Ni 0.777 0.223 0.900
P 0.362 0.638 0.250
P 0.367 0.633 0.544
P 0.367 0.633 0.956
P 0.633 0.367 0.044
P 0.633 0.367 0.456
P 0.638 0.362 0.750
CELL_PARAMETERS angstrom
1.975 -5.171 0.000
1.975 5.171 0.000
0.000 0.000 13.654
```

Entry 9:
Compound: Pa2Ni4P3Pd
Source: Alexandria
Functional: PBE
Structure: optimized geometry Values from VASP.

Results
Fermi-level density of states	0.67	states/eV per atom
E_form	-0.82	eV per atom
total DFT energy (no corrections)	-7.176	eV/atom
crystal system	tetragonal
SG	P-4m2, No. 115

```
&SYSTEM
  ibrav = 0, nat = 10, ntyp = 4
/
ATOMIC_SPECIES
Pa 231.04 Pa.upf
Ni 58.69 Ni.upf
P 30.97 P.upf
Pd 106.42 Pd.upf
ATOMIC_POSITIONS crystal
Pa 0.000 0.500 0.245
Pa 0.500 0.000 0.755
Ni 0.000 0.000 0.000
Ni 0.000 0.500 0.658
Ni 0.500 0.000 0.342
Ni 0.500 0.500 0.000
P 0.000 0.500 0.877
P 0.500 0.000 0.123
P 0.500 0.500 0.500
Pd 0.000 0.000 0.500
CELL_PARAMETERS angstrom
3.857 0.000 0.000
0.000 3.857 0.000
0.000 0.000 9.967
```

Entry 10:
Compound: Pa2Ni3P4Pd
Source: Alexandria
Functional: PBE
Structure: optimized geometry Values from VASP.

Results
Fermi-level density of states	0.65	states/eV per atom
E_form	-0.88	eV per atom
total DFT energy (no corrections)	-7.199	eV/atom
crystal system	tetragonal
SG	P-4m2, No. 115

```
&SYSTEM
  ibrav = 0, nat = 10, ntyp = 4
/
ATOMIC_SPECIES
Pa 231.04 Pa.upf
Ni 58.69 Ni.upf
P 30.97 P.upf
Pd 106.42 Pd.upf
ATOMIC_POSITIONS crystal
Pa 0.000 0.500 0.238
Pa 0.500 0.000 0.762
Ni 0.000 0.500 0.893
Ni 0.500 0.000 0.107
Ni 0.500 0.500 0.500
P 0.000 0.000 0.000
P 0.000 0.500 0.645
P 0.500 0.000 0.355
P 0.500 0.500 0.000
Pd 0.000 0.000 0.500
CELL_PARAMETERS angstrom
4.112 0.000 0.000
0.000 4.112 0.000
0.000 0.000 8.977
```

Entry 11:
Compound: Pa2Ni12P3Pd
Source: Alexandria
Functional: PBE
Structure: optimized geometry Values from VASP.

Results
Fermi-level density of states	0.58	states/eV per atom
E_form	-0.17	eV per atom
total DFT energy (no corrections)	-6.272	eV/atom
crystal system	trigonal
SG	R-3m, No. 166

```
&SYSTEM
  ibrav = 0, nat = 18, ntyp = 4
/
ATOMIC_SPECIES
Pa 231.04 Pa.upf
Ni 58.69 Ni.upf
P 30.97 P.upf
Pd 106.42 Pd.upf
ATOMIC_POSITIONS crystal
Pa 0.171 0.171 0.171
Pa 0.829 0.829 0.829
Ni 0.116 0.116 0.608
Ni 0.116 0.608 0.116
Ni 0.178 0.689 0.689
Ni 0.311 0.311 0.822
Ni 0.311 0.822 0.311
Ni 0.392 0.884 0.884
Ni 0.608 0.116 0.116
Ni 0.689 0.178 0.689
Ni 0.689 0.689 0.178
Ni 0.822 0.311 0.311
Ni 0.884 0.392 0.884
Ni 0.884 0.884 0.392
P 0.000 0.500 0.500
P 0.500 0.000 0.500
P 0.500 0.500 0.000
Pd 0.500 0.500 0.500
CELL_PARAMETERS angstrom
4.239 2.447 3.943
-4.239 2.447 3.943
0.000 -4.894 3.943
```

Entry 12:
Compound: PmPaNiP
Source: Alexandria
Functional: PBE
Structure: optimized geometry Values from VASP.

Results
Fermi-level density of states	1.86	states/eV per atom
E_form	-0.40	eV per atom
total DFT energy (no corrections)	-6.756	eV/atom
crystal system	cubic
SG	F-43m, No. 216

```
&SYSTEM
  ibrav = 0, nat = 4, ntyp = 4
/
ATOMIC_SPECIES
Pm 145.00 Pm.upf
Pa 231.04 Pa.upf
Ni 58.69 Ni.upf
P 30.97 P.upf
ATOMIC_POSITIONS crystal
Pm 0.000 0.000 0.000
Pa 0.500 0.500 0.500
Ni 0.250 0.250 0.250
P 0.750 0.750 0.750
CELL_PARAMETERS angstrom
0.000 3.448 3.448
3.448 0.000 3.448
3.448 3.448 0.000
```